Entry 1:
The following is a GGA-PBE calculation of crystalline BaCaSbTe2 at its relaxed geometry, from the Alexandria database.

relative energy among the computed polymorphs: 0.652 eV/atom
energy: -0.1058 Ha/atom
total magnetization: 0.0 μB per cell
ΔE_f (raw): -0.014 eV/atom

a = 6.321 Å, b = 6.321 Å, c = 6.101 Å
α = 90.00°, β = 90.00°, γ = 90.00°
Space group P4/mmm (No. 123)
Asymmetric unit:
Ba1 0.000 0.000 0.000 x1
Ca1 0.500 0.500 0.500 x1
Sb1 0.000 0.000 0.500 x1
Te1 0.000 0.500 0.000 x2

=====

Entry 2:
The following is a GGA-PBE calculation of crystalline Ba2CaSc at its relaxed geometry, from the Alexandria database.

relative energy among the computed polymorphs: 0.273 eV/atom
energy: -0.0944 Ha/atom
total magnetization: 2.9 μB per cell
ΔE_f: 0.48 eV/atom

a = 9.818 Å, b = 9.818 Å, c = 7.311 Å
α = 90.00°, β = 90.00°, γ = 90.00°
Space group I-42d (No. 122)
Asymmetric unit:
Ba1 0.231 0.250 0.125 x8
Ca1 0.000 0.000 0.500 x4
Sc1 0.000 0.000 0.000 x4

=====

Entry 3:
The following is a GGA-PBE calculation of crystalline Ba2CaSc at its relaxed geometry, from the Alexandria database.

relative energy among the computed polymorphs: 0.078 eV/atom
energy: -0.1016 Ha/atom
total magnetization: 0.0 μB per cell
ΔE_f: 0.28 eV/atom

a = 3.841 Å, b = 6.286 Å, c = 7.379 Å
α = 90.00°, β = 99.28°, γ = 90.00°
Space group Pm (No. 6)
Asymmetric unit:
Ba1 0.000 0.000 0.000 x1
Ba2 0.198 0.500 0.701 x1
Ca1 0.669 0.500 0.239 x1
Sc1 0.522 0.000 0.480 x1

=====

Entry 4:
The following is a GGA-PBE calculation of crystalline Ba2CaSc at its relaxed geometry, from the Alexandria database.

relative energy among the computed polymorphs: 0.000 eV/atom
energy: -0.1045 Ha/atom
total magnetization: 0.0 μB per cell
ΔE_f: 0.20 eV/atom

a = 4.254 Å, b = 4.254 Å, c = 10.021 Å
α = 90.00°, β = 90.00°, γ = 90.00°
Space group P4mm (No. 99)
Asymmetric unit:
Ba1 0.000 0.000 0.000 x1
Ba2 0.500 0.500 0.327 x1
Ca1 0.000 0.000 0.600 x1
Sc1 0.500 0.500 0.771 x1

=====

Entry 5:
The following is a GGA-PBE calculation of crystalline BaCaSc3 at its relaxed geometry, from the Alexandria database.

relative energy among the computed polymorphs: 0.000 eV/atom
energy: -0.1378 Ha/atom
total magnetization: 0.0 μB per cell
ΔE_f: 0.83 eV/atom

a = 5.610 Å, b = 5.610 Å, c = 5.610 Å
α = 90.00°, β = 90.00°, γ = 90.00°
Space group Pm-3m (No. 221)
Asymmetric unit:
Ba1 0.000 0.000 0.000 x1
Ca1 0.500 0.500 0.500 x1
Sc1 0.000 0.500 0.500 x3

=====

Entry 6:
The following is a GGA-PBE calculation of crystalline Ba2CaSc at its relaxed geometry, from the Alexandria database.

relative energy among the computed polymorphs: 0.035 eV/atom
energy: -0.1032 Ha/atom
total magnetization: 0.0 μB per cell
ΔE_f: 0.24 eV/atom

a = 4.294 Å, b = 4.294 Å, c = 9.823 Å
α = 90.00°, β = 90.00°, γ = 90.00°
Space group P4/mmm (No. 123)
Asymmetric unit:
Ba1 0.000 0.000 0.218 x2
Ca1 0.500 0.500 0.500 x1
Sc1 0.500 0.500 0.000 x1

=====

Entry 7:
The following is a GGA-PBE calculation of crystalline Ba2CaSc at its relaxed geometry, from the Alexandria database.

relative energy among the computed polymorphs: 0.079 eV/atom
energy: -0.1016 Ha/atom
total magnetization: 0.0 μB per cell
ΔE_f: 0.28 eV/atom

a = 8.951 Å, b = 8.951 Å, c = 8.951 Å
α = 90.00°, β = 90.00°, γ = 90.00°
Space group Fm-3m (No. 225)
Asymmetric unit:
Ba1 0.250 0.250 0.250 x8
Ca1 0.000 0.000 0.000 x4
Sc1 0.000 0.000 0.500 x4

=====

Entry 8:
The following is a GGA-PBE calculation of crystalline Ba2CaSc2 at its relaxed geometry, from the Alexandria database.

relative energy among the computed polymorphs: 0.000 eV/atom
energy: -0.1235 Ha/atom
total magnetization: 0.0 μB per cell
ΔE_f: 0.34 eV/atom

a = 4.167 Å, b = 4.167 Å, c = 25.585 Å
α = 90.00°, β = 90.00°, γ = 90.00°
Space group I4/mmm (No. 139)
Asymmetric unit:
Ba1 0.000 0.000 0.123 x4
Ca1 0.000 0.000 0.500 x2
Sc1 0.000 0.500 0.250 x4

=====

Entry 9:
The following is a GGA-PBE calculation of crystalline Ba3CaSc at its relaxed geometry, from the Alexandria database.

relative energy among the computed polymorphs: 0.000 eV/atom
energy: -0.0853 Ha/atom
total magnetization: 0.0 μB per cell
ΔE_f: 0.50 eV/atom

a = 6.501 Å, b = 6.501 Å, c = 6.501 Å
α = 90.00°, β = 90.00°, γ = 90.00°
Space group Pm-3m (No. 221)
Asymmetric unit:
Ba1 0.000 0.000 0.500 x3
Ca1 0.500 0.500 0.500 x1
Sc1 0.000 0.000 0.000 x1

=====

Entry 10:
The following is a GGA-PBE calculation of crystalline Ba2CaSc at its relaxed geometry, from the Alexandria database.

relative energy among the computed polymorphs: 0.083 eV/atom
energy: -0.1014 Ha/atom
total magnetization: 0.0 μB per cell
ΔE_f: 0.28 eV/atom

a = 4.392 Å, b = 6.278 Å, c = 12.726 Å
α = 90.00°, β = 90.00°, γ = 90.00°
Space group Immm (No. 71)
Asymmetric unit:
Ba1 0.000 0.000 0.227 x4
Ca1 0.000 0.500 0.000 x2
Sc1 0.000 0.500 0.500 x2

=====

Entry 11:
The following is a GGA-PBE calculation of crystalline Ba2CaSc at its relaxed geometry, from the Alexandria database.

relative energy among the computed polymorphs: 0.104 eV/atom
energy: -0.1007 Ha/atom
total magnetization: 0.0 μB per cell
ΔE_f: 0.31 eV/atom

a = 4.576 Å, b = 6.174 Å, c = 6.190 Å
α = 90.00°, β = 90.00°, γ = 90.00°
Space group Pmmm (No. 47)
Asymmetric unit:
Ba1 0.000 0.000 0.000 x1
Ba2 0.500 0.500 0.000 x1
Ca1 0.000 0.500 0.500 x1
Sc1 0.500 0.000 0.500 x1

=====

Entry 12:
The following is a GGA-PBE calculation of crystalline BaCa4Sc at its relaxed geometry, from the Alexandria database.

energy: -0.0887 Ha/atom
total magnetization: 7.0 μB per cell
ΔE_f: 0.30 eV/atom

a = 10.125 Å, b = 10.125 Å, c = 10.125 Å
α = 90.00°, β = 90.00°, γ = 90.00°
Space group F-43m (No. 216)
Asymmetric unit:
Ba1 0.000 0.000 0.000 x4
Ca1 0.124 0.124 0.624 x16
Sc1 0.250 0.250 0.250 x4